Crystalline CsInN3 at its relaxed geometry. Source: Alexandria via LeMat-Bulk, functional GGA-PBE.

Cell: 4.3698 4.3698 4.3698 Å, 90.00 90.00 90.00°
With the nearest neighbours (Å) after each atom.
Atoms (fractional coordinates):
Cs: 0.0000 0.0000 0.0000  6 N 2.18
N: 0.0000 0.5000 0.0000  2 Cs 2.18
N: 0.0000 0.0000 0.5000  2 Cs 2.18
N: 0.5000 0.0000 0.0000  2 Cs 2.18
In: 0.5000 0.5000 0.5000  12 N 3.09

Values from the calculation:
Calculated total energy   -14.56 eV/cell
Raw formation energy   2.80 eV/atom
Calculated volume   16.7 Å³/atom
Total moment   0.000 μB/atom

Crystalline Cs3InN at its relaxed geometry. Source: Alexandria via LeMat-Bulk, functional GGA-PBE.

Cell: 7.4621 7.4621 7.4621 Å, 90.00 90.00 90.00°
With the nearest neighbours (Å) after each atom.
Atoms (fractional coordinates):
Cs: 0.0000 0.5000 0.0000  2 In 3.73
Cs: 0.0000 0.0000 0.5000  2 In 3.73
Cs: 0.5000 0.0000 0.0000  2 In 3.73
N: 0.5000 0.5000 0.5000  12 Cs 5.28
In: 0.0000 0.0000 0.0000  6 Cs 3.73

Values from the calculation:
Calculated total energy   -8.63 eV/cell
Raw formation energy   1.00 eV/atom
Calculated volume   83.1 Å³/atom
Total moment   0.523 μB/atom

Crystalline CsIn3N at its relaxed geometry. Source: Alexandria via LeMat-Bulk, functional GGA-PBE.

Cell: 6.6153 6.6153 6.6153 Å, 90.00 90.00 90.00°
With the nearest neighbours (Å) after each atom.
Atoms (fractional coordinates):
Cs: 0.0000 0.0000 0.0000  6 In 3.31
N: 0.5000 0.5000 0.5000  12 In 4.68
In: 0.0000 0.5000 0.0000  2 Cs 3.31
In: 0.0000 0.0000 0.5000  2 Cs 3.31
In: 0.5000 0.0000 0.0000  2 Cs 3.31

Values from the calculation:
Calculated total energy   -6.46 eV/cell
Raw formation energy   2.19 eV/atom
Calculated volume   57.9 Å³/atom
Total moment   0.000 μB/atom